# 1
Cd2Sn2Hg: relaxed, PBE-GGA.

Summary:
Total moment = 0.0 μB/cell
Crystal system = tetragonal
DFT total energy = -1.95 eV per atom
Density of states at the Fermi level = 0.338 states/eV/atom
DFT formation energy = 0.40 eV/f.u.
Distance to the lowest polymorph of the same formula = 0.019 eV/atom

Geometry as extended XYZ:
```
10
Lattice="9.155 0.000 0.000 0.000 9.155 0.000 0.000 0.000 3.220" Properties=species:S:1:pos:R:3 pbc="T T T"
Cd 1.391 3.187 0.000
Cd 3.187 7.764 0.000
Cd 5.968 1.391 0.000
Cd 7.764 5.968 0.000
Sn 1.326 5.903 1.610
Sn 3.252 1.326 1.610
Sn 5.903 7.829 1.610
Sn 7.829 3.252 1.610
Hg 0.000 0.000 1.610
Hg 4.577 4.577 1.610
```

# 2
BaAs3: relaxed, PBE-GGA.

Summary:
Total moment = 0.0 μB/cell
Crystal system = tetragonal
DFT total energy = -4.27 eV per atom
Density of states at the Fermi level = 0.609 states/eV/atom
DFT formation energy = -1.19 eV/f.u.

Geometry as extended XYZ:
```
8
Lattice="-2.396 2.396 9.878 2.396 -2.396 9.878 2.396 2.396 -9.878" Properties=species:S:1:pos:R:3 pbc="T T T"
Ba 0.000 0.000 2.549
Ba 0.000 0.000 17.207
As 2.396 0.000 0.000
As 2.396 0.000 4.939
As 0.000 0.000 8.587
As 0.000 2.396 0.000
As 0.000 0.000 11.169
As 0.000 2.396 4.939
```

# 3
Li2CuRh: relaxed, PBE-GGA.

Summary:
Total moment = 0.4 μB/cell
Crystal system = monoclinic
DFT total energy = -3.90 eV per atom
Density of states at the Fermi level = 0.955 states/eV/atom
DFT formation energy = -0.34 eV/f.u.
Distance to the lowest polymorph of the same formula = 0.044 eV/atom

Geometry as extended XYZ:
```
4
Lattice="2.294 -1.349 0.000 2.294 1.349 0.000 -1.445 0.000 8.658" Properties=species:S:1:pos:R:3 pbc="T T T"
Li 0.000 0.000 0.000
Li 0.011 0.000 4.253
Cu 1.582 0.000 6.459
Rh 3.014 0.000 2.125
```

# 4
LaY2NiPb: relaxed, PBE-GGA.

Summary:
Total moment = 0.0 μB/cell
Crystal system = tetragonal
DFT total energy = -5.81 eV per atom
Density of states at the Fermi level = 0.830 states/eV/atom
DFT formation energy = -1.71 eV/f.u.

Geometry as extended XYZ:
```
5
Lattice="5.348 0.000 0.000 0.000 5.348 0.000 0.000 0.000 5.151" Properties=species:S:1:pos:R:3 pbc="T T T"
La 0.000 0.000 0.000
Y 0.000 2.674 2.575
Y 2.674 0.000 2.575
Ni 0.000 0.000 2.575
Pb 2.674 2.674 0.000
```

# 5
U2AgCl8: relaxed, PBE-GGA.

Summary:
Total moment = 1.1 μB/cell
Crystal system = monoclinic
DFT total energy = -4.98 eV per atom
Density of states at the Fermi level = 0.195 states/eV/atom
ΔE_f (raw) = -1325.0 meV per atom

Geometry as extended XYZ:
```
11
Lattice="6.669 -3.964 0.000 6.669 3.964 0.000 -4.740 0.000 6.898" Properties=species:S:1:pos:R:3 pbc="T T T"
U 1.198 0.000 0.233
U 7.400 0.000 6.664
Ag -2.370 0.000 3.449
Cl 2.243 2.211 5.243
Cl -1.300 0.000 5.662
Cl 6.355 2.211 1.655
Cl 2.858 0.000 2.110
Cl 5.739 0.000 4.788
Cl 2.243 -2.211 5.243
Cl 9.897 0.000 1.235
Cl 6.355 -2.211 1.655
```

# 6
ScCrMo2S: relaxed, PBE-GGA.

Summary:
Total moment = 1.2 μB/cell
Crystal system = tetragonal
DFT total energy = -6.32 eV per atom
Density of states at the Fermi level = 2.089 states/eV/atom
ΔE_f (raw) = 2025.3 meV per atom

Geometry as extended XYZ:
```
5
Lattice="4.685 0.000 0.000 0.000 4.685 0.000 0.000 0.000 4.538" Properties=species:S:1:pos:R:3 pbc="T T T"
Sc 0.000 0.000 0.000
Cr 2.342 2.342 2.269
Mo 0.000 2.342 0.000
Mo 2.342 0.000 0.000
S 0.000 0.000 2.269
```

# 7
ScGaFe: relaxed, PBE-GGA.

Summary:
Total moment = 2.4 μB/cell
Crystal system = tetragonal
DFT total energy = -6.29 eV per atom
Density of states at the Fermi level = 0.800 states/eV/atom
DFT formation energy = -1.06 eV/f.u.

Geometry as extended XYZ:
```
6
Lattice="-1.910 1.910 6.803 1.910 -1.910 6.803 1.910 1.910 -6.803" Properties=species:S:1:pos:R:3 pbc="T T T"
Sc 0.000 0.000 2.199
Sc 0.000 0.000 11.407
Ga 0.000 0.000 5.161
Ga 0.000 0.000 8.445
Fe 1.910 0.000 0.000
Fe 0.000 1.910 0.000
```

# 8
Y6Ge3TeSe2: relaxed, PBE-GGA.

Summary:
Total moment = 0.0 μB/cell
Crystal system = monoclinic
DFT total energy = -6.56 eV per atom
Density of states at the Fermi level = 0.205 states/eV/atom
ΔE_f (raw) = -1335.3 meV per atom

Geometry as extended XYZ:
```
12
Lattice="9.157 -2.089 0.000 9.157 2.089 0.000 -2.034 0.000 8.177" Properties=species:S:1:pos:R:3 pbc="T T T"
Y -0.436 0.000 1.894
Y 5.107 0.000 3.452
Y 4.301 0.000 7.430
Y 11.978 0.000 0.747
Y 11.172 0.000 4.725
Y 16.716 0.000 6.283
Ge 2.350 0.000 2.713
Ge 9.157 0.000 0.000
Ge 13.929 0.000 5.464
Te 8.140 0.000 4.088
Se 1.373 0.000 6.825
Se 14.906 0.000 1.352
```

# 9
PrPuIn4: relaxed, PBE-GGA.

Summary:
Total moment = 6.0 μB/cell
Crystal system = monoclinic
DFT total energy = -5.32 eV per atom
Density of states at the Fermi level = 1.888 states/eV/atom
DFT formation energy = -1.86 eV/f.u.
Distance to the lowest polymorph of the same formula = 0.000 eV/atom

Geometry as extended XYZ:
```
6
Lattice="3.624 0.000 0.000 0.000 5.038 0.000 -0.005 0.000 8.772" Properties=species:S:1:pos:R:3 pbc="T T T"
Pr 0.000 0.000 0.000
Pu -0.002 2.519 4.386
In 1.804 2.519 1.469
In 1.807 0.000 5.837
In 1.813 0.000 2.935
In 1.815 2.519 7.303
```

# 10
Pm2TmCd: relaxed, PBE-GGA.

Summary:
Total moment = 0.0 μB/cell
Crystal system = trigonal
DFT total energy = -3.77 eV per atom
Density of states at the Fermi level = 1.377 states/eV/atom
DFT formation energy = -0.20 eV/f.u.
Distance to the lowest polymorph of the same formula = 0.103 eV/atom

Geometry as extended XYZ:
```
4
Lattice="1.812 1.046 10.935 -1.812 1.046 10.935 0.000 -2.093 10.935" Properties=species:S:1:pos:R:3 pbc="T T T"
Pm 0.000 0.000 0.000
Pm 0.000 0.000 5.706
Tm 0.000 0.000 13.782
Cd 0.000 0.000 19.256
```

# 11
Si2Pd2W: relaxed, PBE-GGA.

Summary:
Total moment = 0.0 μB/cell
Crystal system = tetragonal
DFT total energy = -6.80 eV per atom
Density of states at the Fermi level = 0.421 states/eV/atom
ΔE_f (raw) = 34.5 meV per atom
Distance to the lowest polymorph of the same formula = 0.238 eV/atom

Geometry as extended XYZ:
```
10
Lattice="7.316 0.000 0.000 0.000 7.316 0.000 0.000 0.000 2.736" Properties=species:S:1:pos:R:3 pbc="T T T"
Si 1.261 2.397 0.000
Si 2.397 6.055 0.000
Si 4.919 1.261 0.000
Si 6.055 4.919 0.000
Pd 0.949 4.608 1.368
Pd 2.709 0.949 1.368
Pd 4.608 6.367 1.368
Pd 6.367 2.709 1.368
W 0.000 0.000 1.368
W 3.658 3.658 1.368
```

# 12
MgBI2: relaxed, PBE-GGA.

Summary:
Total moment = 0.0 μB/cell
Crystal system = cubic
DFT total energy = -2.05 eV per atom
Density of states at the Fermi level = 0.777 states/eV/atom
ΔE_f (raw) = 797.6 meV per atom
Distance to the lowest polymorph of the same formula = 0.076 eV/atom

Geometry as extended XYZ:
```
4
Lattice="0.000 3.699 3.699 3.699 0.000 3.699 3.699 3.699 0.000" Properties=species:S:1:pos:R:3 pbc="T T T"
Mg 0.000 0.000 0.000
B 3.699 3.699 3.699
I 1.850 1.850 1.850
I 5.549 5.549 5.549
```

# 13
Ca2PaTl3Se6: relaxed, PBE-GGA.

Summary:
Total moment = 0.0 μB/cell
Crystal system = monoclinic
DFT total energy = -4.73 eV per atom
ΔE_f (raw) = -1271.9 meV per atom

Geometry as extended XYZ:
```
12
Lattice="3.686 -6.370 0.000 3.686 6.370 0.000 -2.431 0.000 7.713" Properties=species:S:1:pos:R:3 pbc="T T T"
Ca 3.686 4.253 0.000
Ca 3.686 -4.253 0.000
Pa 3.686 0.000 0.000
Tl -1.215 0.000 3.856
Tl 2.471 2.153 3.856
Tl 2.471 -2.153 3.856
Se 0.094 1.992 6.136
Se 1.387 0.000 1.622
Se 0.094 -1.992 6.136
Se 4.847 1.992 1.577
Se 3.555 0.000 6.091
Se 4.847 -1.992 1.577
```

# 14
Cs2USCl5: relaxed, PBE-GGA.

Summary:
Total moment = 1.0 μB/cell
Crystal system = tetragonal
DFT total energy = -4.72 eV per atom
ΔE_f (raw) = -1794.4 meV per atom

Geometry as extended XYZ:
```
9
Lattice="-3.833 3.833 5.554 3.833 -3.833 5.554 3.833 3.833 -5.554" Properties=species:S:1:pos:R:3 pbc="T T T"
Cs 3.833 0.000 0.000
Cs 0.000 3.833 0.000
U 0.000 0.000 2.866
S 0.000 0.000 5.272
Cl 1.994 1.994 -2.782
Cl 1.839 -1.839 2.772
Cl 0.000 0.000 0.250
Cl -1.839 1.839 2.772
Cl 1.839 1.839 2.772
```

# 15
B3PC: relaxed, PBE-GGA.

Summary:
Total moment = 0.0 μB/cell
Crystal system = monoclinic
DFT total energy = -6.65 eV per atom
Density of states at the Fermi level = 0.066 states/eV/atom
DFT formation energy = 1.44 eV/f.u.
Distance to the lowest polymorph of the same formula = 0.039 eV/atom

Geometry as extended XYZ:
```
5
Lattice="2.672 -1.635 0.000 2.672 1.635 0.000 -2.083 0.000 4.902" Properties=species:S:1:pos:R:3 pbc="T T T"
B 0.000 0.000 0.000
B 0.360 0.815 3.221
B 0.360 -0.815 3.221
P 1.793 0.000 0.662
C 1.706 0.000 2.500
```

# 16
YZrRe2Ru: relaxed, PBE-GGA.

Summary:
Total moment = 0.0 μB/cell
Crystal system = tetragonal
DFT total energy = -7.62 eV per atom
Density of states at the Fermi level = 1.810 states/eV/atom
DFT formation energy = 11.10 eV/f.u.
Distance to the lowest polymorph of the same formula = 1.088 eV/atom

Geometry as extended XYZ:
```
5
Lattice="4.708 0.000 0.000 0.000 4.708 0.000 0.000 0.000 5.169" Properties=species:S:1:pos:R:3 pbc="T T T"
Y 0.000 0.000 0.000
Zr 0.000 0.000 2.584
Re 0.000 2.354 2.584
Re 2.354 0.000 2.584
Ru 2.354 2.354 0.000
```

# 17
CrCu2MoPt: relaxed, PBE-GGA.

Summary:
Total moment = 6.2 μB/cell
Crystal system = tetragonal
DFT total energy = -5.54 eV per atom
Density of states at the Fermi level = 1.065 states/eV/atom
DFT formation energy = 6.97 eV/f.u.

Geometry as extended XYZ:
```
5
Lattice="4.444 0.000 0.000 0.000 4.444 0.000 0.000 0.000 4.555" Properties=species:S:1:pos:R:3 pbc="T T T"
Cr 0.000 0.000 0.000
Cu 0.000 2.222 0.000
Cu 2.222 0.000 0.000
Mo 2.222 2.222 2.278
Pt 0.000 0.000 2.278
```

# 18
PuAlCrTc: relaxed, PBE-GGA.

Summary:
Total moment = 2.2 μB/cell
Crystal system = cubic
DFT total energy = -9.58 eV per atom
Density of states at the Fermi level = 1.845 states/eV/atom
DFT formation energy = -0.24 eV/f.u.

Geometry as extended XYZ:
```
4
Lattice="0.000 3.182 3.182 3.182 0.000 3.182 3.182 3.182 0.000" Properties=species:S:1:pos:R:3 pbc="T T T"
Pu 0.000 0.000 0.000
Al 3.182 3.182 3.182
Cr 4.773 4.773 4.773
Tc 1.591 1.591 1.591
```

# 19
YAl2H6: relaxed, PBE-GGA.

Summary:
Total moment = 0.0 μB/cell
Crystal system = cubic
DFT total energy = -3.32 eV per atom
Density of states at the Fermi level = 0.337 states/eV/atom

Geometry as extended XYZ:
```
9
Lattice="0.000 3.596 3.596 3.596 0.000 3.596 3.596 3.596 0.000" Properties=species:S:1:pos:R:3 pbc="T T T"
Y 0.000 0.000 0.000
Al 1.798 1.798 1.798
Al 5.394 5.394 5.394
H 3.596 3.596 2.049
H 3.596 2.049 3.596
H 5.142 3.596 3.596
H 2.049 3.596 3.596
H 3.596 5.142 3.596
H 3.596 3.596 5.142
```

# 20
YTeWN2: relaxed, PBE-GGA.

Summary:
Total moment = 0.0 μB/cell
Crystal system = tetragonal
DFT total energy = -7.89 eV per atom
Density of states at the Fermi level = 0.565 states/eV/atom
ΔE_f (raw) = -48.0 meV per atom
Distance to the lowest polymorph of the same formula = 0.000 eV/atom

Geometry as extended XYZ:
```
5
Lattice="4.078 0.000 0.000 0.000 4.078 0.000 0.000 0.000 5.507" Properties=species:S:1:pos:R:3 pbc="T T T"
Y 0.000 0.000 0.000
Te 2.039 2.039 0.000
W 2.039 2.039 2.753
N 0.000 2.039 2.753
N 2.039 0.000 2.753
```